VASP calculation (PBE-GGA) on Al2SiNi after structural relaxation.

a b c (Å): 4.308 4.308 4.308
angles (deg): 60.00 60.00 60.00
Element x y z (fractional)
Al1 0.000 0.000 0.000
Al2 0.250 0.250 0.250
Si1 0.750 0.750 0.750
Ni1 0.500 0.500 0.500

Values from the calculation:
Uncorrected formation energy   0.06 eV per atom
Relative energy among the computed polymorphs   1.50 eV per formula unit
Total energy   -4.61 eV per atom
SG   F-43m (216)

VASP calculation (PBE-GGA) on HgC2 after structural relaxation.

a b c (Å): 2.630 2.630 9.162
angles (deg): 90.00 90.00 120.21
Element x y z (fractional)
Hg1 0.000 0.000 0.000
C1 0.333 0.667 0.500
C2 0.667 0.333 0.500

Values from the calculation:
Relative energy among the computed polymorphs   0.00 eV per formula unit
Total energy   -5.71 eV per atom
E_form   0.538 eV/atom
SG   Cmmm (65)

VASP calculation (PBE-GGA) on Sc5Mn2H12 after structural relaxation.

a b c (Å): 5.781 5.781 6.590
angles (deg): 104.58 104.58 52.78
Element x y z (fractional)
Sc1 0.000 0.000 0.000
Sc2 0.310 0.310 0.665
Sc3 0.333 0.333 0.150
Sc4 0.667 0.667 0.850
Sc5 0.690 0.690 0.335
Mn1 0.225 0.775 0.500
Mn2 0.775 0.225 0.500
H1 0.034 0.034 0.333
H2 0.076 0.592 0.912
H3 0.108 0.558 0.411
H4 0.408 0.924 0.088
H5 0.442 0.892 0.589
H6 0.492 0.492 0.649
H7 0.507 0.507 0.351
H8 0.558 0.108 0.411
H9 0.592 0.076 0.912
H10 0.892 0.442 0.589
H11 0.924 0.408 0.088
H12 0.966 0.966 0.667

Values from the calculation:
Total energy   -5.16 eV per atom
SG   C2/m (12)

VASP calculation (PBE-GGA) on Rb3SbSe4 after structural relaxation.

a b c (Å): 10.023 11.650 10.616
angles (deg): 90.00 90.00 90.00
Element x y z (fractional)
Rb1 0.071 0.045 0.197
Rb2 0.071 0.455 0.197
Rb3 0.140 0.750 0.423
Rb4 0.360 0.250 0.923
Rb5 0.429 0.545 0.697
Rb6 0.429 0.955 0.697
Rb7 0.571 0.045 0.303
Rb8 0.571 0.455 0.303
Rb9 0.640 0.750 0.077
Rb10 0.860 0.250 0.577
Rb11 0.929 0.545 0.803
Rb12 0.929 0.955 0.803
Sb1 0.226 0.750 0.980
Sb2 0.274 0.250 0.480
Sb3 0.726 0.750 0.520
Sb4 0.774 0.250 0.020
Se1 0.009 0.750 0.100
Se2 0.143 0.071 0.529
Se3 0.143 0.429 0.529
Se4 0.175 0.750 0.748
Se5 0.325 0.250 0.248
Se6 0.357 0.571 0.029
Se7 0.357 0.929 0.029
Se8 0.491 0.250 0.600
Se9 0.509 0.750 0.400
Se10 0.643 0.071 0.971
Se11 0.643 0.429 0.971
Se12 0.675 0.750 0.752
Se13 0.825 0.250 0.252
Se14 0.857 0.571 0.471
Se15 0.857 0.929 0.471
Se16 0.991 0.250 0.900

Values from the calculation:
Uncorrected formation energy   -0.87 eV per atom
Total energy   -3.49 eV per atom
SG   Pnma (62)

VASP calculation (PBE-GGA) on Li4ReAs after structural relaxation.

a b c (Å): 4.800 4.800 4.800
angles (deg): 60.00 60.00 60.00
Element x y z (fractional)
Li1 0.124 0.124 0.124
Li2 0.124 0.124 0.628
Li3 0.124 0.628 0.124
Li4 0.628 0.124 0.124
Re1 0.750 0.750 0.750
As1 0.500 0.500 0.500

Values from the calculation:
Total energy   -3.75 eV per atom
E_form   0.374 eV/atom
SG   F-43m (216)

VASP calculation (PBE-GGA) on TlIrSe2 after structural relaxation.

a b c (Å): 4.826 4.826 4.826
angles (deg): 60.00 60.00 60.00
Element x y z (fractional)
Tl1 0.000 0.000 0.000
Ir1 0.250 0.250 0.250
Se1 0.500 0.500 0.500
Se2 0.750 0.750 0.750

Values from the calculation:
Uncorrected formation energy   0.76 eV per atom
Relative energy among the computed polymorphs   4.25 eV per formula unit
Total energy   -3.79 eV per atom
SG   F-43m (216)

VASP calculation (PBE-GGA) on MgBiN2 after structural relaxation.

a b c (Å): 6.293 6.293 6.293
angles (deg): 132.73 132.73 69.08
Element x y z (fractional)
Mg1 0.000 0.000 0.000
Mg2 0.750 0.250 0.500
Bi1 0.250 0.750 0.500
Bi2 0.500 0.500 0.000
N1 0.102 0.625 0.977
N2 0.375 0.352 0.477
N3 0.648 0.125 0.023
N4 0.875 0.898 0.523

Values from the calculation:
Uncorrected formation energy   0.21 eV per atom
Relative energy among the computed polymorphs   0.00 eV per formula unit
Total energy   -5.32 eV per atom
SG   I-42d (122)

VASP calculation (PBE-GGA) on Gd2GePb after structural relaxation.

a b c (Å): 8.592 8.592 8.592
angles (deg): 27.38 27.38 27.38
Element x y z (fractional)
Gd1 0.235 0.235 0.235
Gd2 0.765 0.765 0.765
Ge1 0.500 0.500 0.500
Pb1 0.000 0.000 0.000

Values from the calculation:
Relative energy among the computed polymorphs   0.18 eV per formula unit
Total energy   -9.69 eV per atom
E_form   -0.564 eV/atom
SG   R-3m (166)

Q: total energy of number 1 (Al2SiNi)?
A: -4.61 eV per atom